Entry from the Alexandria database: a relaxed structure of AlH3Ru (PBE).

```
AlH3Ru
1.0
-2.052 -0.525 2.660
2.503 -1.650 1.604
1.043 2.926 1.382
H Al Ru
3 1 1
Direct
0.000 0.000 0.500
0.500 0.000 0.000
0.000 0.500 0.000
0.000 0.000 0.000
0.500 0.500 0.500
```

Calculated values
The calculated total energy is -3.914 eV/atom. The calculation puts the density of states at the Fermi level at 1.53 states/eV per cell.